*a*
TcOs3N | PBE-GGA | relaxed

a = 4.036 Å, b = 4.036 Å, c = 4.036 Å
α = 90.00°, β = 90.00°, γ = 90.00°
Element x y z (fractional)
Os (0.000, 0.500, 0.000)
Os (0.000, 0.000, 0.500)
Os (0.500, 0.000, 0.000)
Tc (0.500, 0.500, 0.500)
N (0.000, 0.000, 0.000)

Computed properties:
Calculated volume ... 13.144 Å³/atom

*b*
TcOs3N | PBE-GGA | relaxed

a = 4.706 Å, b = 4.706 Å, c = 4.706 Å
α = 90.00°, β = 90.00°, γ = 90.00°
Site moments in Bohr magnetons follow the coordinates.
Element x y z (fractional)
Os (0.000, 0.500, 0.000)  1.14
Os (0.000, 0.000, 0.500)  1.13
Os (0.500, 0.000, 0.000)  1.03
Tc (0.000, 0.000, 0.000)  -0.07
N (0.500, 0.500, 0.500)  1.52

Computed properties:
Calculated volume ... 20.845 Å³/atom

Least stable = *b*